# 1
Pm2GaRu3 after structural relaxation. Source: the Alexandria database, functional PBE.

The calculation puts the formation energy at -0.319 eV per atom. As for the electronic total energy: -0.5178 Ry per atom. The relative energy among the computed polymorphs is 0.022 eV per atom.

Cell lengths 5.4885, 5.4885, 8.6867 Å; angles 90.00, 90.00, 120.00 degrees
Space group P6_3/mmc (No. 194)
Symmetry-distinct sites (fractional):
Pm 0.3333 0.6667 0.0681 x4
Ga 0.0000 0.0000 0.0000 x2
Ru 0.1700 0.3399 0.7500 x6


# 2
PmGa4Ru after structural relaxation. Source: the Alexandria database, functional PBE.

The calculation puts the formation energy at -0.529 eV per atom. As for the electronic total energy: -0.3590 Ry per atom.

Cell lengths 7.729, 4.129, 7.030 Å; angles 90.00, 90.00, 90.00 degrees
Space group Pmma (No. 51)
Symmetry-distinct sites (fractional):
Pm 0.250 0.000 0.131 x2
Ga 0.000 0.000 0.500 x2
Ga 0.066 0.500 0.822 x4
Ga 0.250 0.500 0.457 x2
Ru 0.250 0.000 0.699 x2


# 3
Pm4Ga12Ru after structural relaxation. Source: the Alexandria database, functional PBE.

The calculation puts the formation energy at -0.586 eV per atom. As for the electronic total energy: -0.3223 Ry per atom.

Cell lengths 8.748, 8.748, 8.748 Å; angles 90.00, 90.00, 90.00 degrees
Space group Im-3m (No. 229)
Symmetry-distinct sites (fractional):
Pm 0.250 0.250 0.250 x8
Ga 0.000 0.000 0.289 x12
Ga 0.000 0.250 0.500 x12
Ru 0.000 0.000 0.000 x2


What is the electronic total energy in the second record?
-0.3590 Ry per atom